Computed, not measured: YAlZn2 after structural relaxation at the PBE level of DFT.

a b c (Å): 3.419 4.497 5.355
angles (deg): 90.00 90.00 90.00
Space group Pmmm (No. 47)
Inequivalent atoms, fractional coordinates:
Y  0.000  0.000  0.000 (multiplicity 1)
Al  0.500  0.000  0.500 (multiplicity 1)
Zn  0.500  0.500  0.247 (multiplicity 2)

Properties
* energy relative to the lowest polymorph listed for this composition: 0.73 eV/f.u.



Computed, not measured: YAl2Zn after structural relaxation at the PBE level of DFT.

a b c (Å): 3.393 4.471 5.467
angles (deg): 90.00 90.00 90.00
Space group Pmmm (No. 47)
Inequivalent atoms, fractional coordinates:
Y  0.000  0.000  0.000 (multiplicity 1)
Al  0.500  0.500  0.248 (multiplicity 2)
Zn  0.500  0.000  0.500 (multiplicity 1)



Computed, not measured: Y7Al2Zn2 after structural relaxation at the PBE level of DFT.

a b c (Å): 7.639 10.988 7.400
angles (deg): 90.00 90.00 90.00
Space group Cmmm (No. 65)
Inequivalent atoms, fractional coordinates:
Y  0.000  0.000  0.000 (multiplicity 2)
Y  0.000  0.500  0.255 (multiplicity 4)
Y  0.250  0.250  0.281 (multiplicity 8)
Al  0.170  0.000  0.500 (multiplicity 4)
Zn  0.000  0.290  0.000 (multiplicity 4)



Computed, not measured: Y3AlZn8 after structural relaxation at the PBE level of DFT.

a b c (Å): 5.4446 5.4446 26.1813
angles (deg): 90.00 90.00 120.00
Space group R3m (No. 160, hexagonal axes)
Inequivalent atoms, fractional coordinates:
Y  0.0000  0.0000  0.0000 (multiplicity 3)
Y  0.0000  0.0000  0.1265 (multiplicity 3)
Y  0.0000  0.0000  0.5110 (multiplicity 3)
Al  0.0000  0.0000  0.6328 (multiplicity 3)
Zn  0.0000  0.0000  0.3163 (multiplicity 3)
Zn  0.0000  0.0000  0.8151 (multiplicity 3)
Zn  0.0007  0.5004  0.5660 (multiplicity 9)
Zn  0.0025  0.5013  0.0653 (multiplicity 9)



| no. | calculated formation energy (kJ/mol of atoms) | spin magnetization (μB/f.u.) |
| --- | --- | --- |
| 1 | -22.45 | 0.00 |
| 2 | -22.56 | 0.00 |
| 3 | -2.92 | 0.00 |
| 4 | -25.37 | 0.00 |